# 1
A plane-wave DFT calculation with PBE was carried out for a relaxed TbNd3Dy2 crystal.

The calculated formation energy is 0.06 eV/atom. The density is 7.63 g/cm3. For the density of states at the Fermi level, the calculation gives 1.484 states/eV per atom. The total magnetization is 0.0 Bohr magnetons per cell. Its total energy is -4.629 eV per atom.

The space group is C2/m (No. 12) and the conventional cell measures 17.186, 5.730 and 9.882 Å, with angles of 90.00, 124.91 and 90.00 degrees. The asymmetric unit holds Tb at (0.124, 0.000, 0.116), Nd at (0.002, 0.000, 0.332), Nd at (0.125, 0.500, 0.635), Nd at (0.249, 0.500, 0.423), Dy at (0.001, 0.500, 0.165) and Dy at (0.248, 0.500, 0.087).

---

# 2
A plane-wave DFT calculation with PBE was carried out for a relaxed TbNd3Dy4 crystal.

The calculated formation energy is 0.02 eV/atom. The density is 7.74 g/cm3. For the density of states at the Fermi level, the calculation gives 1.785 states/eV per atom. The total magnetization is 0.0 Bohr magnetons per cell. Its total energy is -4.643 eV per atom.

The space group is Pmn2_1 (No. 31) and the conventional cell measures 11.529, 7.323 and 6.312 Å, with angles of 90.00, 90.00 and 90.00 degrees. The asymmetric unit holds Tb at (0.000, 0.129, 0.000), Nd at (0.000, 0.873, 0.501), Nd at (0.250, 0.126, 0.335), Dy at (0.000, 0.378, 0.501), Dy at (0.000, 0.623, 0.001) and Dy at (0.249, 0.378, 0.834).

---

# 3
A plane-wave DFT calculation with PBE was carried out for a relaxed TbNd5Dy6 crystal.

The calculated formation energy is 0.01 eV/atom. The density is 7.80 g/cm3. For the density of states at the Fermi level, the calculation gives 1.190 states/eV per atom. The total magnetization is 0.0 Bohr magnetons per cell. Its total energy is -4.661 eV per atom.

The space group is C2/m (No. 12) and the conventional cell measures 6.250, 10.822 and 11.864 Å, with angles of 90.00, 100.07 and 90.00 degrees. The asymmetric unit holds Tb at (0.000, 0.000, 0.000), Nd at (0.000, 0.167, 0.500), Nd at (0.000, 0.333, 0.000), Nd at (0.000, 0.500, 0.500), Dy at (0.249, 0.166, 0.249) and Dy at (0.250, 0.000, 0.751).

---

# 4
A plane-wave DFT calculation with PBE was carried out for a relaxed Tb2Nd3Dy8 crystal.

The calculated formation energy is 0.25 eV/atom. The density is 7.75 g/cm3. For the density of states at the Fermi level, the calculation gives 1.718 states/eV per atom. The total magnetization is 0.0 Bohr magnetons per cell. Its total energy is -4.399 eV per atom.

The space group is C2/m (No. 12) and the conventional cell measures 20.172, 7.709 and 5.652 Å, with angles of 90.00, 90.02 and 90.00 degrees. The asymmetric unit holds Tb at (0.241, 0.000, 0.499), Nd at (0.000, 0.000, 0.500), Nd at (0.000, 0.292, 0.000), Dy at (0.109, 0.291, 0.500), Dy at (0.135, 0.000, 0.000) and Dy at (0.171, 0.500, 0.000).

---

# 5
A plane-wave DFT calculation with PBE was carried out for a relaxed Tb2Nd3Dy4 crystal.

The calculated formation energy is 0.10 eV/atom. The density is 7.90 g/cm3. For the density of states at the Fermi level, the calculation gives 1.578 states/eV per atom. The total magnetization is 0.0 Bohr magnetons per cell. Its total energy is -4.565 eV per atom.

The space group is C2/c (No. 15) and the conventional cell measures 16.478, 11.703 and 6.154 Å, with angles of 90.00, 97.06 and 90.00 degrees. The asymmetric unit holds Tb at (0.107, 0.117, 0.291), Nd at (0.000, 0.143, 0.750), Nd at (0.166, 0.355, 0.584), Dy at (0.060, 0.384, 0.041) and Dy at (0.228, 0.116, 0.873).

---

# 6
A plane-wave DFT calculation with PBE was carried out for a relaxed TbNdDy5 crystal.

The calculated formation energy is 0.19 eV/atom. The density is 8.15 g/cm3. For the density of states at the Fermi level, the calculation gives 1.203 states/eV per atom. The total magnetization is 0.0 Bohr magnetons per cell. Its total energy is -4.439 eV per atom.

The space group is C2/c (No. 15) and the conventional cell measures 11.723, 6.777 and 12.196 Å, with angles of 90.00, 110.20 and 90.00 degrees. The asymmetric unit holds Tb at (0.250, 0.250, 0.000), Nd at (0.000, 0.029, 0.250), Dy at (0.000, 0.410, 0.750), Dy at (0.079, 0.269, 0.500) and Dy at (0.219, 0.366, 0.248).

---

# 7
A plane-wave DFT calculation with PBE was carried out for a relaxed Tb2Nd6Dy3 crystal.

The calculated formation energy is 0.01 eV/atom. The density is 7.53 g/cm3. For the density of states at the Fermi level, the calculation gives 1.182 states/eV per atom. The total magnetization is 0.0 Bohr magnetons per cell. Its total energy is -4.685 eV per atom.

The space group is R-3m (No. 166, hexagonal axes) and the conventional cell measures 3.6233, 3.6233 and 97.1578 Å, with angles of 90.00, 90.00 and 120.00 degrees. The asymmetric unit holds Tb at (0.0000, 0.0000, 0.0460), Nd at (0.0000, 0.0000, 0.1365), Nd at (0.0000, 0.0000, 0.3177), Nd at (0.0000, 0.0000, 0.4096), Dy at (0.0000, 0.0000, 0.2269) and Dy at (0.0000, 0.0000, 0.5000).

---

# 8
A plane-wave DFT calculation with PBE was carried out for a relaxed Tb3Nd5Dy3 crystal.

The calculated formation energy is 0.31 eV/atom. The density is 7.30 g/cm3. For the density of states at the Fermi level, the calculation gives 1.487 states/eV per atom. The total magnetization is 0.0 Bohr magnetons per cell. Its total energy is -4.371 eV per atom.

The space group is P-62m (No. 189) and the conventional cell measures 11.3075, 11.3075 and 3.4604 Å, with angles of 90.00, 90.00 and 120.00 degrees. The asymmetric unit holds Tb at (0.0000, 0.4041, 0.0000), Nd at (0.0000, 0.6611, 0.5000), Nd at (0.3333, 0.6667, 0.5000) and Dy at (0.0000, 0.1594, 0.5000).

---

# 9
A plane-wave DFT calculation with PBE was carried out for a relaxed TbNd2Dy crystal.

The calculated formation energy is 0.01 eV/atom. The density is 7.60 g/cm3. For the density of states at the Fermi level, the calculation gives 1.143 states/eV per atom. The total magnetization is 0.0 Bohr magnetons per cell. Its total energy is -4.681 eV per atom.

The space group is R-3m (No. 166, hexagonal axes) and the conventional cell measures 3.6206, 3.6206 and 35.2056 Å, with angles of 90.00, 90.00 and 120.00 degrees. The asymmetric unit holds Tb at (0.0000, 0.0000, 0.0000), Nd at (0.0000, 0.0000, 0.2498) and Dy at (0.0000, 0.0000, 0.5000).

---

# 10
A plane-wave DFT calculation with PBE was carried out for a relaxed Tb3Nd3Dy crystal.

The calculated formation energy is 0.24 eV/atom. The density is 7.38 g/cm3. For the density of states at the Fermi level, the calculation gives 1.547 states/eV per atom. The total magnetization is 0.0 Bohr magnetons per cell. Its total energy is -4.443 eV per atom.

The space group is R-3 (No. 148, hexagonal axes) and the conventional cell measures 8.7280, 8.7280 and 21.9443 Å, with angles of 90.00, 90.00 and 120.00 degrees. The asymmetric unit holds Tb at (0.0551, 0.6047, 0.3804), Nd at (0.0034, 0.7639, 0.5591) and Dy at (0.0000, 0.0000, 0.1516).

---

# 11
A plane-wave DFT calculation with PBE was carried out for a relaxed Tb2Nd3Dy crystal.

The calculated formation energy is 0.58 eV/atom. The density is 6.49 g/cm3. For the density of states at the Fermi level, the calculation gives 1.771 states/eV per atom. The total magnetization is 0.0 Bohr magnetons per cell. Its total energy is -4.117 eV per atom.

The space group is Ibam (No. 72) and the conventional cell measures 11.192, 12.300 and 6.783 Å, with angles of 90.00, 90.00 and 90.00 degrees. The asymmetric unit holds Tb at (0.243, 0.175, 0.000), Nd at (0.000, 0.000, 0.250), Nd at (0.000, 0.265, 0.250) and Dy at (0.000, 0.500, 0.000).

---

# 12
A plane-wave DFT calculation with PBE was carried out for a relaxed Tb4Nd3Dy2 crystal.

The calculated formation energy is 0.02 eV/atom. The density is 7.82 g/cm3. For the density of states at the Fermi level, the calculation gives 1.237 states/eV per atom. The total magnetization is 0.0 Bohr magnetons per cell. Its total energy is -4.654 eV per atom.

The space group is C2/m (No. 12) and the conventional cell measures 11.926, 3.595 and 14.815 Å, with angles of 90.00, 111.39 and 90.00 degrees. The asymmetric unit holds Tb at (0.170, 0.000, 0.169), Tb at (0.222, 0.500, 0.389), Nd at (0.000, 0.500, 0.500), Nd at (0.110, 0.500, 0.943) and Dy at (0.054, 0.000, 0.721).

---

# 13
A plane-wave DFT calculation with PBE was carried out for a relaxed Tb2NdDy crystal.

The calculated formation energy is 0.02 eV/atom. The density is 7.96 g/cm3. For the density of states at the Fermi level, the calculation gives 1.494 states/eV per atom. The total magnetization is 0.0 Bohr magnetons per cell. Its total energy is -4.639 eV per atom.

The space group is P4/mmm (No. 123) and the conventional cell measures 5.068, 5.068 and 5.073 Å, with angles of 90.00, 90.00 and 90.00 degrees. The asymmetric unit holds Tb at (0.000, 0.500, 0.000), Nd at (0.000, 0.000, 0.500) and Dy at (0.500, 0.500, 0.500).

---

# 14
A plane-wave DFT calculation with PBE was carried out for a relaxed Tb3Nd3Dy crystal.

The calculated formation energy is 0.02 eV/atom. The density is 7.57 g/cm3. For the density of states at the Fermi level, the calculation gives 1.728 states/eV per atom. The total magnetization is 0.0 Bohr magnetons per cell. Its total energy is -4.663 eV per atom.

The space group is P6_3/m (No. 176) and the conventional cell measures 9.6819, 9.6819 and 5.7953 Å, with angles of 90.00, 90.00 and 120.00 degrees. The asymmetric unit holds Tb at (0.0952, 0.6166, 0.2500), Nd at (0.0490, 0.8067, 0.7500) and Dy at (0.3333, 0.6667, 0.7500).

---

# 15
A plane-wave DFT calculation with PBE was carried out for a relaxed Tb5Nd3Dy2 crystal.

The calculated formation energy is 0.19 eV/atom. The density is 7.67 g/cm3. For the density of states at the Fermi level, the calculation gives 1.805 states/eV per atom. The total magnetization is 0.0 Bohr magnetons per cell. Its total energy is -4.475 eV per atom.

The space group is C2/c (No. 15) and the conventional cell measures 10.769, 15.990 and 9.472 Å, with angles of 90.00, 124.48 and 90.00 degrees. The asymmetric unit holds Tb at (0.000, 0.025, 0.250), Tb at (0.000, 0.273, 0.750), Tb at (0.000, 0.470, 0.750), Tb at (0.236, 0.386, 0.224), Nd at (0.000, 0.234, 0.250), Nd at (0.143, 0.125, 0.046) and Dy at (0.154, 0.382, 0.546).

---

# 16
A plane-wave DFT calculation with PBE was carried out for a relaxed TbNd7Dy2 crystal.

The calculated formation energy is 0.38 eV/atom. The density is 6.85 g/cm3. For the density of states at the Fermi level, the calculation gives 1.526 states/eV per atom. The total magnetization is 0.0 Bohr magnetons per cell. Its total energy is -4.344 eV per atom.

The space group is Cmmm (No. 65) and the conventional cell measures 12.127, 16.947 and 3.523 Å, with angles of 90.00, 90.00 and 90.00 degrees. The asymmetric unit holds Tb at (0.000, 0.000, 0.000), Nd at (0.000, 0.322, 0.000), Nd at (0.000, 0.500, 0.500), Nd at (0.245, 0.371, 0.500) and Dy at (0.000, 0.167, 0.500).

---

# 17
A plane-wave DFT calculation with PBE was carried out for a relaxed Tb3Nd3Dy8 crystal.

The calculated formation energy is 0.11 eV/atom. The density is 7.95 g/cm3. For the density of states at the Fermi level, the calculation gives 1.503 states/eV per atom. The total magnetization is 0.0 Bohr magnetons per cell. Its total energy is -4.537 eV per atom.

The space group is Immm (No. 71) and the conventional cell measures 5.668, 10.800 and 15.079 Å, with angles of 90.00, 90.00 and 90.00 degrees. The asymmetric unit holds Tb at (0.000, 0.000, 0.000), Tb at (0.000, 0.297, 0.000), Nd at (0.000, 0.000, 0.500), Nd at (0.000, 0.500, 0.183), Dy at (0.000, 0.161, 0.220) and Dy at (0.000, 0.341, 0.397).

---

# 18
A plane-wave DFT calculation with PBE was carried out for a relaxed TbNdDy crystal.

The calculated formation energy is 0.02 eV/atom. The density is 7.85 g/cm3. For the density of states at the Fermi level, the calculation gives 1.460 states/eV per atom. The total magnetization is 0.0 Bohr magnetons per cell. Its total energy is -4.648 eV per atom.

The space group is Cmce (No. 64) and the conventional cell measures 5.079, 15.239 and 10.186 Å, with angles of 90.00, 90.00 and 90.00 degrees. The asymmetric unit holds Tb at (0.000, 0.085, 0.125), Nd at (0.000, 0.084, 0.625) and Dy at (0.000, 0.249, 0.375).

---

# 19
A plane-wave DFT calculation with PBE was carried out for a relaxed TbNd2Dy8 crystal.

The calculated formation energy is 0.16 eV/atom. The density is 8.04 g/cm3. For the density of states at the Fermi level, the calculation gives 1.367 states/eV per atom. The total magnetization is 0.0 Bohr magnetons per cell. Its total energy is -4.478 eV per atom.

The space group is C2/m (No. 12) and the conventional cell measures 9.042, 16.097 and 5.909 Å, with angles of 90.00, 122.95 and 90.00 degrees. The asymmetric unit holds Tb at (0.000, 0.000, 0.000), Nd at (0.000, 0.307, 0.500), Dy at (0.000, 0.207, 0.000), Dy at (0.073, 0.500, 0.796) and Dy at (0.214, 0.116, 0.674).

---

# 20
A plane-wave DFT calculation with PBE was carried out for a relaxed Tb2Nd2Dy7 crystal.

The calculated formation energy is 0.15 eV/atom. The density is 7.98 g/cm3. For the density of states at the Fermi level, the calculation gives 1.625 states/eV per atom. The total magnetization is 0.0 Bohr magnetons per cell. Its total energy is -4.487 eV per atom.

The space group is C2/m (No. 12) and the conventional cell measures 11.259, 11.559 and 6.084 Å, with angles of 90.00, 113.65 and 90.00 degrees. The asymmetric unit holds Tb at (0.000, 0.214, 0.000), Nd at (0.092, 0.500, 0.307), Dy at (0.000, 0.000, 0.500), Dy at (0.174, 0.237, 0.678) and Dy at (0.229, 0.000, 0.080).